1.
# PBE NdErRu4, relaxed
# Calculated formation energy = -0.23 eV per atom
# Total DFT energy (no corrections) = -7.96 eV/atom
# Magnetization = 0.0 μB per formula unit
data_NdErRu4
_chemical_formula_sum 'Nd4 Er4 Ru16'
_cell_length_a 7.5938
_cell_length_b 7.5938
_cell_length_c 7.5938
_cell_angle_alpha 90.00
_cell_angle_beta 90.00
_cell_angle_gamma 90.00
_space_group_name_H-M_alt 'F -4 3 m'
_space_group_IT_number 216
_space_group_name_Hall 'F -4 2 3'
loop_
_atom_site_label
_atom_site_type_symbol
_atom_site_fract_x
_atom_site_fract_y
_atom_site_fract_z
Nd1 Nd 0.0000 0.0000 0.0000
Er1 Er 0.2500 0.2500 0.2500
Ru1 Ru 0.1247 0.1247 0.6247

=====

2.
# PBE CsU4Cu3Te12, relaxed
# Total DFT energy (no corrections) = -5.13 eV/atom
# Magnetization = 4.6 μB per formula unit
data_CsU4Cu3Te12
_chemical_formula_sum 'Cs2 U8 Cu6 Te24'
_cell_length_a 11.0130
_cell_length_b 11.0130
_cell_length_c 11.0130
_cell_angle_alpha 90.00
_cell_angle_beta 90.00
_cell_angle_gamma 90.00
_space_group_name_H-M_alt 'I m -3'
_space_group_IT_number 204
_space_group_name_Hall '-I 2 2 3'
loop_
_atom_site_label
_atom_site_type_symbol
_atom_site_fract_x
_atom_site_fract_y
_atom_site_fract_z
Cs1 Cs 0.0000 0.0000 0.0000
U1 U 0.2500 0.2500 0.2500
Cu1 Cu 0.0000 0.0000 0.5000
Te1 Te 0.0000 0.1701 0.3240